(1)
First-principles (PBE) data for a geometry-optimized TaV2CoPt structure, as listed in the Alexandria database.

CIF file:
```
data_TaV2CoPt
_cell_length_a 4.2260
_cell_length_b 4.2260
_cell_length_c 4.5928
_cell_angle_alpha 90.00
_cell_angle_beta 90.00
_cell_angle_gamma 90.00
_symmetry_space_group_name_H-M 'P 4/m m m'
_symmetry_Int_Tables_number 123
_symmetry_space_group_name_Hall '-P 4 2'
loop_
_atom_site_label
_atom_site_type_symbol
_atom_site_fract_x
_atom_site_fract_y
_atom_site_fract_z
Ta1 Ta 0.0000 0.0000 0.0000
V1 V 0.0000 0.5000 0.5000
Co1 Co 0.0000 0.0000 0.5000
Pt1 Pt 0.5000 0.5000 0.0000
```

Values from the calculation:
The density of states at the Fermi level comes out at 1.066 states/eV per atom. Its final energy is -8.124 eV per atom.



(2)
First-principles (PBE) data for a geometry-optimized Ba3Mg5I12 structure, as listed in the Alexandria database.

CIF file:
```
data_Ba3Mg5I12
_cell_length_a 19.4080
_cell_length_b 19.4080
_cell_length_c 19.4080
_cell_angle_alpha 90.00
_cell_angle_beta 90.00
_cell_angle_gamma 90.00
_symmetry_space_group_name_H-M 'I a -3 d'
_symmetry_Int_Tables_number 230
_symmetry_space_group_name_Hall '-I 4bd 2c 3'
loop_
_atom_site_label
_atom_site_type_symbol
_atom_site_fract_x
_atom_site_fract_y
_atom_site_fract_z
Ba1 Ba 0.0000 0.2500 0.1250
Mg1 Mg 0.0000 0.0000 0.0000
Mg2 Mg 0.0000 0.2500 0.3750
I1 I 0.0315 0.0641 0.6616
```

Values from the calculation:
The density of states at the Fermi level comes out at 0.338 states/eV per atom. Its final energy is -2.652 eV per atom.



(3)
First-principles (PBE) data for a geometry-optimized Ho3Ga11 structure, as listed in the Alexandria database.

CIF file:
```
data_Ho3Ga11
_cell_length_a 4.2004
_cell_length_b 10.0392
_cell_length_c 12.7962
_cell_angle_alpha 90.00
_cell_angle_beta 90.00
_cell_angle_gamma 90.00
_symmetry_space_group_name_H-M 'I m m m'
_symmetry_Int_Tables_number 71
_symmetry_space_group_name_Hall '-I 2 2'
loop_
_atom_site_label
_atom_site_type_symbol
_atom_site_fract_x
_atom_site_fract_y
_atom_site_fract_z
Ho1 Ho 0.0000 0.0000 0.0000
Ho2 Ho 0.0000 0.0000 0.3218
Ga1 Ga 0.0000 0.2143 0.5000
Ga2 Ga 0.0000 0.2739 0.1443
Ga3 Ga 0.0000 0.3762 0.3359
Ga4 Ga 0.0000 0.5000 0.0000
```

Values from the calculation:
The density of states at the Fermi level comes out at 0.276 states/eV per atom. Its final energy is -3.767 eV per atom.



(4)
First-principles (PBE) data for a geometry-optimized SmYZnGe structure, as listed in the Alexandria database.

CIF file:
```
data_SmYZnGe
_cell_length_a 7.1853
_cell_length_b 7.1853
_cell_length_c 7.1853
_cell_angle_alpha 90.00
_cell_angle_beta 90.00
_cell_angle_gamma 90.00
_symmetry_space_group_name_H-M 'F -4 3 m'
_symmetry_Int_Tables_number 216
_symmetry_space_group_name_Hall 'F -4 2 3'
loop_
_atom_site_label
_atom_site_type_symbol
_atom_site_fract_x
_atom_site_fract_y
_atom_site_fract_z
Sm1 Sm 0.0000 0.0000 0.0000
Y1 Y 0.0000 0.0000 0.5000
Zn1 Zn 0.2500 0.2500 0.2500
Ge1 Ge 0.2500 0.2500 0.7500
```

Values from the calculation:
The density of states at the Fermi level comes out at 0.618 states/eV per atom. The energy relative to the lowest polymorph listed for this composition is 85 meV/atom.



(5)
First-principles (PBE) data for a geometry-optimized BeP2Pt structure, as listed in the Alexandria database.

CIF file:
```
data_BeP2Pt
_cell_length_a 3.4366
_cell_length_b 4.5256
_cell_length_c 6.9322
_cell_angle_alpha 90.00
_cell_angle_beta 90.00
_cell_angle_gamma 90.00
_symmetry_space_group_name_H-M 'C m m m'
_symmetry_Int_Tables_number 65
_symmetry_space_group_name_Hall '-C 2 2'
loop_
_atom_site_label
_atom_site_type_symbol
_atom_site_fract_x
_atom_site_fract_y
_atom_site_fract_z
Be1 Be 0.0000 0.0000 0.0000
P1 P 0.0000 0.5000 0.2207
Pt1 Pt 0.0000 0.0000 0.5000
```

Values from the calculation:
The density of states at the Fermi level comes out at 0.551 states/eV per atom. Its final energy is -4.855 eV per atom.



(6)
First-principles (PBE) data for a geometry-optimized Hf2HW structure, as listed in the Alexandria database.

CIF file:
```
data_Hf2HW
_cell_length_a 6.4529
_cell_length_b 6.4529
_cell_length_c 6.4529
_cell_angle_alpha 90.00
_cell_angle_beta 90.00
_cell_angle_gamma 90.00
_symmetry_space_group_name_H-M 'F m -3 m'
_symmetry_Int_Tables_number 225
_symmetry_space_group_name_Hall '-F 4 2 3'
loop_
_atom_site_label
_atom_site_type_symbol
_atom_site_fract_x
_atom_site_fract_y
_atom_site_fract_z
Hf1 Hf 0.2500 0.2500 0.2500
H1 H 0.0000 0.0000 0.0000
W1 W 0.0000 0.0000 0.5000
```

Values from the calculation:
The density of states at the Fermi level comes out at 0.881 states/eV per atom. The energy relative to the lowest polymorph listed for this composition is 319 meV/atom.